(1)
## Zn2MoIr (PBE)

Data for a relaxed structure of Zn2MoIr.

a b c (Å): 2.879 2.879 7.090
angles (deg): 90.00 90.00 90.00
Element x y z (fractional)
Zn: 0.000 0.000 0.000
Zn: 0.500 0.500 0.246
Mo: 0.500 0.500 0.737
Ir: 0.000 0.000 0.493

Results
As for the energy above the most stable polymorph in this dataset: 0.000 eV/atom. The crystal system is tetragonal. The density of states at the Fermi level is 2.11 states/eV per cell. For the formation energy, the calculation gives -0.153 eV per atom.

=====

(2)
## ZnMoIr2 (PBE)

Data for a relaxed structure of ZnMoIr2.

a b c (Å): 4.678 4.678 4.678
angles (deg): 129.97 129.97 73.45
Element x y z (fractional)
Zn: 0.000 0.000 0.000
Mo: 0.500 0.500 0.000
Ir: 0.250 0.750 0.500
Ir: 0.750 0.250 0.500

Results
The crystal system is tetragonal. The density of states at the Fermi level is 2.78 states/eV per cell. For the formation energy, the calculation gives -0.170 eV per atom.

=====

(3)
## Zn2MoIr (PBE)

Data for a relaxed structure of Zn2MoIr.

a b c (Å): 4.780 4.780 4.780
angles (deg): 131.78 131.78 70.58
Element x y z (fractional)
Zn: 0.250 0.750 0.500
Zn: 0.750 0.250 0.500
Mo: 0.000 0.000 0.000
Ir: 0.500 0.500 0.000

Results
As for the energy above the most stable polymorph in this dataset: 0.323 eV/atom. The crystal system is tetragonal. The density of states at the Fermi level is 3.61 states/eV per cell. For the formation energy, the calculation gives 0.170 eV per atom.

=====

(4)
## ZnMoIr2 (PBE)

Data for a relaxed structure of ZnMoIr2.

a b c (Å): 4.685 4.685 2.794
angles (deg): 90.00 90.00 105.56
Element x y z (fractional)
Zn: 0.000 0.000 0.000
Mo: 0.500 0.500 0.000
Ir: 0.000 0.500 0.500
Ir: 0.500 0.000 0.500

Results
The crystal system is orthorhombic. The density of states at the Fermi level is 3.59 states/eV per cell. For the formation energy, the calculation gives -0.095 eV per atom.

=====

| no. | magnetic moment (μB/f.u.) |
| --- | --- |
| 1 | 0.0 |
| 2 | 0.0 |
| 3 | 1.8 |
| 4 | 0.0 |